Here is Pm4Sm3Pd2 after structural relaxation from the Alexandria database. Energies are from GGA-PBE.

Density of states at the Fermi level   11.6 states/eV per cell
DFT total energy   -46.3 eV per formula unit

Cell lengths 3.826, 9.243, 8.730 Å; angles 111.91, 102.66, 90.00 degrees
Fractional positions:
Sm: 0.000 0.500 0.000
Sm: 0.072 0.178 0.144
Sm: 0.928 0.822 0.856
Pd: 0.618 0.444 0.237
Pd: 0.382 0.556 0.763
Pm: 0.371 0.115 0.741
Pm: 0.232 0.664 0.465
Pm: 0.768 0.336 0.535
Pm: 0.629 0.885 0.259